--- one ---
Material: EuLuTl
Method: DFT, GGA-PBE
State: relaxed

Lattice parameters (Å, degrees): 5.3455 5.3455 3.7578 90.00 90.00 120.00
Last column: nearest neighbours and their distance in Å.
Atoms (fractional coordinates):
Eu  0.0000  0.0000  0.0000  6 Tl 3.49-3.75, 6 Lu 3.56-3.67, 2 Eu 3.76
Lu  0.3333  0.6667  0.4723  3 Tl 3.11
Tl  0.6667  0.3333  0.5661  3 Lu 3.11

--- two ---
Material: EuLuTl
Method: DFT, GGA-PBE
State: relaxed

Lattice parameters (Å, degrees): 7.1740 7.1740 7.1740 149.92 149.92 43.06
Last column: nearest neighbours and their distance in Å.
Atoms (fractional coordinates):
Eu  0.0000  0.0000  0.0000  4 Tl 3.45, 4 Lu 3.71, 4 Eu 3.72
Lu  0.3037  0.3037  0.0000  4 Tl 3.21
Tl  0.6666  0.6666  0.0000  4 Lu 3.21, 4 Eu 3.45

Which of them is most stable, and which least? Most stable: two; least stable: one.

--- one ---
Material: Eu2LuTl
Method: DFT, GGA-PBE
State: relaxed

Lattice parameters (Å, degrees): 12.3489 12.3489 12.3489 16.78 16.78 16.78
Last column: nearest neighbours and their distance in Å.
Atoms (fractional coordinates):
Eu  0.0926  0.0926  0.0926  1 Lu 3.38, 3 Tl 3.41, 6 Eu 3.60
Eu  0.9074  0.9074  0.9074  1 Lu 3.38, 3 Tl 3.41, 6 Eu 3.60
Lu  0.0000  0.0000  0.0000  2 Eu 3.38, 6 Lu 3.60
Tl  0.5000  0.5000  0.5000  6 Eu 3.41, 6 Tl 3.60

--- two ---
Material: Eu2LuTl
Method: DFT, GGA-PBE
State: relaxed

Lattice parameters (Å, degrees): 4.1488 4.1488 7.5770 90.00 90.00 90.00
Last column: nearest neighbours and their distance in Å.
Atoms (fractional coordinates):
Eu  0.0000  0.0000  0.2379  4 Tl 3.44, 4 Lu 3.54, 1 Eu 3.60
Eu  0.0000  0.0000  0.7621  4 Tl 3.44, 4 Lu 3.54, 1 Eu 3.60
Lu  0.5000  0.5000  0.5000  8 Eu 3.54, 2 Tl 3.79
Tl  0.5000  0.5000  0.0000  8 Eu 3.44, 2 Lu 3.79

Which of them is most stable, and which least? Most stable: two; least stable: one.

--- one ---
Material: Eu2LuTl
Method: DFT, GGA-PBE
State: relaxed

Lattice parameters (Å, degrees): 5.6613 5.6613 5.6613 60.00 60.00 60.00
Last column: nearest neighbours and their distance in Å.
Atoms (fractional coordinates):
Eu  0.2500  0.2500  0.2500  4 Tl 3.47, 4 Lu 3.47
Eu  0.7500  0.7500  0.7500  4 Tl 3.47, 4 Lu 3.47
Lu  0.0000  0.0000  0.0000  8 Eu 3.47
Tl  0.5000  0.5000  0.5000  8 Eu 3.47

--- two ---
Material: Eu2LuTl
Method: DFT, GGA-PBE
State: relaxed

Lattice parameters (Å, degrees): 4.9114 4.9114 5.1496 90.00 90.00 90.00
Last column: nearest neighbours and their distance in Å.
Atoms (fractional coordinates):
Eu  0.0000  0.5000  0.0000  4 Eu 3.47, 4 Tl 3.56, 4 Lu 3.56
Eu  0.5000  0.0000  0.0000  4 Eu 3.47, 4 Tl 3.56, 4 Lu 3.56
Lu  0.0000  0.0000  0.5000  4 Tl 3.47, 8 Eu 3.56
Tl  0.5000  0.5000  0.5000  4 Lu 3.47, 8 Eu 3.56

Which of them is most stable, and which least? Most stable: two; least stable: one.

--- one ---
Material: EuTm2Lu
Method: DFT, GGA-PBE
State: relaxed

Lattice parameters (Å, degrees): 3.5346 3.5346 10.2144 90.00 90.00 90.00
Last column: nearest neighbours and their distance in Å.
Atoms (fractional coordinates):
Eu  0.0000  0.0000  0.0000  4 Eu 3.53, 8 Tm 3.71
Tm  0.5000  0.5000  0.2680  4 Lu 3.44, 4 Tm 3.53, 4 Eu 3.71
Tm  0.5000  0.5000  0.7320  4 Lu 3.44, 4 Tm 3.53, 4 Eu 3.71
Lu  0.0000  0.0000  0.5000  8 Tm 3.44, 4 Lu 3.53

--- two ---
Material: EuTm2Lu
Method: DFT, GGA-PBE
State: relaxed

Lattice parameters (Å, degrees): 5.6575 5.6575 5.6575 60.00 60.00 60.00
Last column: nearest neighbours and their distance in Å.
Atoms (fractional coordinates):
Eu  0.0000  0.0000  0.0000  8 Tm 3.46
Tm  0.2500  0.2500  0.2500  4 Lu 3.46, 4 Eu 3.46
Tm  0.7500  0.7500  0.7500  4 Lu 3.46, 4 Eu 3.46
Lu  0.5000  0.5000  0.5000  8 Tm 3.46

Which of them is most stable, and which least? Most stable: one; least stable: two.

--- one ---
Material: Eu2YLu
Method: DFT, GGA-PBE
State: relaxed

Lattice parameters (Å, degrees): 5.1517 5.1517 5.2652 90.00 90.00 90.00
Last column: nearest neighbours and their distance in Å.
Atoms (fractional coordinates):
Eu  0.0000  0.5000  0.0000  4 Eu 3.64, 4 Lu 3.68, 4 Y 3.68
Eu  0.5000  0.0000  0.0000  4 Eu 3.64, 4 Lu 3.68, 4 Y 3.68
Y  0.0000  0.0000  0.5000  4 Lu 3.64, 8 Eu 3.68
Lu  0.5000  0.5000  0.5000  4 Y 3.64, 8 Eu 3.68

--- two ---
Material: Eu2YLu
Method: DFT, GGA-PBE
State: relaxed

Lattice parameters (Å, degrees): 4.0902 4.0902 8.3329 90.00 90.00 90.00
Last column: nearest neighbours and their distance in Å.
Atoms (fractional coordinates):
Eu  0.0000  0.0000  0.2413  4 Lu 3.52, 4 Y 3.61
Eu  0.0000  0.0000  0.7587  4 Lu 3.52, 4 Y 3.61
Y  0.5000  0.5000  0.5000  8 Eu 3.61
Lu  0.5000  0.5000  0.0000  8 Eu 3.52

Which of them is most stable, and which least? Most stable: one; least stable: two.

--- one ---
Material: EuY2Lu
Method: DFT, GGA-PBE
State: relaxed

Lattice parameters (Å, degrees): 5.7309 5.7309 5.7309 60.00 60.00 60.00
Last column: nearest neighbours and their distance in Å.
Atoms (fractional coordinates):
Eu  0.0000  0.0000  0.0000  8 Y 3.51
Y  0.2500  0.2500  0.2500  4 Lu 3.51, 4 Eu 3.51
Y  0.7500  0.7500  0.7500  4 Lu 3.51, 4 Eu 3.51
Lu  0.5000  0.5000  0.5000  8 Y 3.51

--- two ---
Material: EuY2Lu
Method: DFT, GGA-PBE
State: relaxed

Lattice parameters (Å, degrees): 5.0786 5.0786 5.0904 90.00 90.00 90.00
Last column: nearest neighbours and their distance in Å.
Atoms (fractional coordinates):
Eu  0.0000  0.0000  0.0000  4 Lu 3.59, 8 Y 3.60
Y  0.0000  0.5000  0.5000  4 Y 3.59, 4 Eu 3.60, 4 Lu 3.60
Y  0.5000  0.0000  0.5000  4 Y 3.59, 4 Eu 3.60, 4 Lu 3.60
Lu  0.5000  0.5000  0.0000  4 Eu 3.59, 8 Y 3.60

Which of them is most stable, and which least? Most stable: two; least stable: one.

--- one ---
Material: EuYLu
Method: DFT, GGA-PBE
State: relaxed

Lattice parameters (Å, degrees): 3.6149 3.6149 8.8501 90.00 90.00 120.00
Last column: nearest neighbours and their distance in Å.
Atoms (fractional coordinates):
Eu  0.0000  0.0000  0.0000  6 Eu 3.61, 3 Lu 3.66, 3 Y 3.74
Y  0.6667  0.3333  0.3510  3 Lu 3.44, 6 Y 3.61, 3 Eu 3.74
Lu  0.3333  0.6667  0.6602  3 Y 3.44, 6 Lu 3.61, 3 Eu 3.66

--- two ---
Material: EuYLu
Method: DFT, GGA-PBE
State: relaxed

Lattice parameters (Å, degrees): 8.0725 8.0725 8.0725 154.02 154.02 37.08
Last column: nearest neighbours and their distance in Å.
Atoms (fractional coordinates):
Eu  0.0000  0.0000  0.0000  4 Eu 3.63, 4 Lu 3.68, 4 Y 3.74
Y  0.3222  0.3222  0.0000  4 Lu 3.44, 4 Y 3.63, 4 Eu 3.74
Lu  0.6726  0.6726  0.0000  4 Y 3.44, 4 Lu 3.63, 4 Eu 3.68

Which of them is most stable, and which least? Most stable: one; least stable: two.

--- one ---
Material: EuLuZn
Method: DFT, GGA-PBE
State: relaxed

Lattice parameters (Å, degrees): 5.0661 5.0661 3.7992 90.00 90.00 120.00
Last column: nearest neighbours and their distance in Å.
Atoms (fractional coordinates):
Eu  0.0000  0.0000  0.0000  6 Zn 3.46-3.52, 6 Lu 3.48-3.49, 2 Eu 3.80
Lu  0.3333  0.6667  0.5032  3 Zn 2.93
Zn  0.6667  0.3333  0.4844  3 Lu 2.93

--- two ---
Material: EuLuZn
Method: DFT, GGA-PBE
State: relaxed

Lattice parameters (Å, degrees): 6.7880 6.7880 6.7880 149.01 149.01 44.39
Last column: nearest neighbours and their distance in Å.
Atoms (fractional coordinates):
Eu  0.0000  0.0000  0.0000  4 Zn 3.27, 1 Lu 3.50, 4 Eu 3.63
Lu  0.2787  0.2787  0.0000  4 Zn 2.96
Zn  0.6609  0.6609  0.0000  4 Lu 2.96, 4 Eu 3.27

Which of them is most stable, and which least? Most stable: two; least stable: one.